VASP calculation (PBE) on an optimized crystal structure of ScFeTcW.

N(E_F) (states/eV per cell): 6.91
Energy of formation from the pure elements (eV per formula unit): -0.53
Crystal system: cubic

a = 6.205 Å, b = 6.205 Å, c = 6.205 Å
α = 90.00°, β = 90.00°, γ = 90.00°
Space group F-43m (No. 216)
Symmetry-distinct sites (fractional):
Sc  0.000  0.000  0.000
Fe  0.250  0.250  0.250
Tc  0.250  0.250  0.750
W  0.000  0.000  0.500